Entry 1:
## PdSIN2 (PBE-GGA)

Data for a relaxed PdSIN2 crystal.

## Properties
E, eV/atom: -3.617

POSCAR file:
```
PdSIN2
1.0
3.855 0.000 0.000
0.000 3.855 0.000
0.000 0.000 5.786
Pd S I N
1 1 1 2
Direct
0.000 0.000 0.000
0.500 0.500 0.000
0.500 0.500 0.500
0.000 0.500 0.500
0.500 0.000 0.500
```



Entry 2:
## PdS2IN (PBE-GGA)

Data for a relaxed PdS2IN crystal.

## Properties
E, eV/atom: -3.088

POSCAR file:
```
PdS2IN
1.0
5.167 0.000 0.000
0.000 5.167 0.000
0.000 0.000 3.886
Pd S I N
1 2 1 1
Direct
0.000 0.000 0.000
0.000 0.500 0.500
0.500 0.000 0.500
0.500 0.500 0.500
0.500 0.500 0.000
```



Entry 3:
## PdSIN2 (PBE-GGA)

Data for a relaxed PdSIN2 crystal.

## Properties
E, eV/atom: -4.027

POSCAR file:
```
PdSIN2
1.0
3.637 0.000 0.000
0.000 3.637 0.000
0.000 0.000 7.946
Pd S I N
1 1 1 2
Direct
0.000 0.000 0.000
0.500 0.500 0.500
0.500 0.500 0.000
0.000 0.500 0.500
0.500 0.000 0.500
```



Entry 4:
## PdSIN2 (PBE-GGA)

Data for a relaxed PdSIN2 crystal.

## Properties
E, eV/atom: -4.004

POSCAR file:
```
PdSIN2
1.0
3.890 0.000 0.000
0.000 3.890 0.000
0.000 0.000 8.150
Pd S I N
1 1 1 2
Direct
0.000 0.000 0.000
0.000 0.000 0.500
0.500 0.500 0.500
0.000 0.500 0.000
0.500 0.000 0.000
```



Entry 5:
## PdS2IN (PBE-GGA)

Data for a relaxed PdS2IN crystal.

## Properties
E, eV/atom: -3.678

POSCAR file:
```
PdS2IN
1.0
5.031 0.000 0.000
0.000 5.031 0.000
0.000 0.000 3.754
Pd S I N
1 2 1 1
Direct
0.000 0.000 0.000
0.000 0.500 0.000
0.500 0.000 0.000
0.500 0.500 0.500
0.000 0.000 0.500
```



Entry 6:
## Sb2PdIN (PBE-GGA)

Data for a relaxed Sb2PdIN crystal.

## Properties
E, eV/atom: -3.152

POSCAR file:
```
Sb2PdIN
1.0
5.174 0.000 0.000
0.000 5.174 0.000
0.000 0.000 5.389
Sb Pd I N
2 1 1 1
Direct
0.000 0.500 0.000
0.500 0.000 0.000
0.000 0.000 0.000
0.000 0.000 0.500
0.500 0.500 0.500
```



Entry 7:
## Sb2PdIN (PBE-GGA)

Data for a relaxed Sb2PdIN crystal.

## Properties
E, eV/atom: -3.866

POSCAR file:
```
Sb2PdIN
1.0
4.801 0.000 0.000
0.000 4.801 0.000
0.000 0.000 4.680
Sb Pd I N
2 1 1 1
Direct
0.000 0.500 0.000
0.500 0.000 0.000
0.000 0.000 0.500
0.500 0.500 0.500
0.500 0.500 0.000
```



Entry 8:
## ScPdI2N (PBE-GGA)

Data for a relaxed ScPdI2N crystal.

## Properties
E, eV/atom: -4.426

POSCAR file:
```
ScPdI2N
1.0
5.803 0.000 0.000
0.000 5.803 0.000
0.000 0.000 3.992
Sc Pd I N
1 1 2 1
Direct
0.000 0.000 0.000
0.500 0.500 0.500
0.000 0.500 0.000
0.500 0.000 0.000
0.000 0.000 0.500
```



Number 1: ΔE_f (raw) 1.89 eV per atom, energy relative to the lowest polymorph listed for this composition 409.4 meV/atom, total moment 0.0 μB/cell. Number 2: ΔE_f (raw) 1.58 eV per atom, energy relative to the lowest polymorph listed for this composition 589.5 meV/atom, total moment 1.0 μB/cell. Number 3: ΔE_f (raw) 1.48 eV per atom, energy relative to the lowest polymorph listed for this composition 0.0 meV/atom, total moment 0.7 μB/cell. Number 4: ΔE_f (raw) 1.50 eV per atom, energy relative to the lowest polymorph listed for this composition 22.9 meV/atom, total moment 2.7 μB/cell. Number 5: ΔE_f (raw) 0.99 eV per atom, energy relative to the lowest polymorph listed for this composition 0.0 meV/atom, total moment 0.6 μB/cell. Number 6: ΔE_f (raw) 1.51 eV per atom, energy relative to the lowest polymorph listed for this composition 713.8 meV/atom, total moment 0.0 μB/cell. Number 7: ΔE_f (raw) 0.80 eV per atom, energy relative to the lowest polymorph listed for this composition 0.0 meV/atom, total moment 0.0 μB/cell. Number 8: ΔE_f (raw) 0.16 eV per atom, energy relative to the lowest polymorph listed for this composition 0.0 meV/atom, total moment 2.0 μB/cell.